Compound: OsSI2O
Source: Alexandria via LeMat-Bulk
Functional: PBE
Structure: optimized geometry

Geometry as CIF:
```
data_OsSI2O
_chemical_formula_sum 'Os1 S1 I2 O1'
_space_group_name_H-M_alt 'P 4/m m m'
_space_group_IT_number 123
_space_group_name_Hall '-P 4 2'
_cell_length_a 5.345
_cell_length_b 5.345
_cell_length_c 3.433
_cell_angle_alpha 90.00
_cell_angle_beta 90.00
_cell_angle_gamma 90.00
loop_
_atom_site_label
_atom_site_type_symbol
_atom_site_fract_x
_atom_site_fract_y
_atom_site_fract_z
Os1 Os 0.000 0.000 0.000
S1 S 0.500 0.500 0.500
I1 I 0.000 0.500 0.500
O1 O 0.500 0.500 0.000
```

Calculated values
Magnetic moment = 0.00 μB/atom
Formation energy from raw total energies = 110.4 kJ per mole of atoms
Calculated density = 8333 kg/m³
Energy = -3.54 eV/atom
Crystal system = tetragonal

Compound: SbOsIO2
Source: Alexandria via LeMat-Bulk
Functional: PBE
Structure: optimized geometry

Geometry as CIF:
```
data_SbOsIO2
_chemical_formula_sum 'Sb1 Os1 I1 O2'
_space_group_name_H-M_alt 'P 4/m m m'
_space_group_IT_number 123
_space_group_name_Hall '-P 4 2'
_cell_length_a 4.014
_cell_length_b 4.014
_cell_length_c 5.711
_cell_angle_alpha 90.00
_cell_angle_beta 90.00
_cell_angle_gamma 90.00
loop_
_atom_site_label
_atom_site_type_symbol
_atom_site_fract_x
_atom_site_fract_y
_atom_site_fract_z
Sb1 Sb 0.000 0.000 0.000
Os1 Os 0.000 0.000 0.500
I1 I 0.500 0.500 0.000
O1 O 0.000 0.500 0.500
```

Calculated values
Magnetic moment = 0.00 μB/atom
Formation energy from raw total energies = -15.1 kJ per mole of atoms
Calculated density = 8497 kg/m³
Energy = -5.52 eV/atom
Crystal system = tetragonal

Compound: SbOsIO2
Source: Alexandria via LeMat-Bulk
Functional: PBE
Structure: optimized geometry

Geometry as CIF:
```
data_SbOsIO2
_chemical_formula_sum 'Sb1 Os1 I1 O2'
_space_group_name_H-M_alt 'P 4/m m m'
_space_group_IT_number 123
_space_group_name_Hall '-P 4 2'
_cell_length_a 3.958
_cell_length_b 3.958
_cell_length_c 6.850
_cell_angle_alpha 90.00
_cell_angle_beta 90.00
_cell_angle_gamma 90.00
loop_
_atom_site_label
_atom_site_type_symbol
_atom_site_fract_x
_atom_site_fract_y
_atom_site_fract_z
Sb1 Sb 0.000 0.000 0.000
Os1 Os 0.500 0.500 0.500
I1 I 0.000 0.000 0.500
O1 O 0.000 0.500 0.000
```

Calculated values
Magnetic moment = 0.46 μB/atom
Formation energy from raw total energies = 50.1 kJ per mole of atoms
Calculated density = 7287 kg/m³
Energy = -4.84 eV/atom
Crystal system = tetragonal

Compound: SbOsIO2
Source: Alexandria via LeMat-Bulk
Functional: PBE
Structure: optimized geometry

Geometry as CIF:
```
data_SbOsIO2
_chemical_formula_sum 'Sb1 Os1 I1 O2'
_space_group_name_H-M_alt 'P 4/m m m'
_space_group_IT_number 123
_space_group_name_Hall '-P 4 2'
_cell_length_a 3.916
_cell_length_b 3.916
_cell_length_c 8.166
_cell_angle_alpha 90.00
_cell_angle_beta 90.00
_cell_angle_gamma 90.00
loop_
_atom_site_label
_atom_site_type_symbol
_atom_site_fract_x
_atom_site_fract_y
_atom_site_fract_z
Sb1 Sb 0.000 0.000 0.000
Os1 Os 0.500 0.500 0.500
I1 I 0.500 0.500 0.000
O1 O 0.000 0.500 0.500
```

Calculated values
Magnetic moment = 0.00 μB/atom
Formation energy from raw total energies = 13.2 kJ per mole of atoms
Calculated density = 6243 kg/m³
Energy = -5.23 eV/atom
Crystal system = tetragonal

- Look up the formation energy from raw total energies of the fourth one.
  13.2 kJ per mole of atoms

- What is the energy in the second record?
  -5.52 eV/atom